1.
The following is a PBE calculation of an optimized crystal structure of Ca3CoB, from Alexandria via LeMat-Bulk.

## Properties
As for the energy above the lowest structure with this stoichiometry: 0.00 kJ/mol of atoms.

Cell: 5.181 5.181 5.181 Å, 90.00 90.00 90.00°
Last column: magnetic moment on the atom in μB.
Fractional positions:
Ca  0.000  0.000  0.500  -0.01
Ca  0.500  0.000  0.000  0.01
Co  0.500  0.500  0.500  1.78
Ca  0.000  0.500  0.000  0.00
B  0.000  0.000  0.000  0.23


2.
The following is a PBE calculation of an optimized crystal structure of CaCoB14, from Alexandria via LeMat-Bulk.

Cell: 5.838 7.299 7.299 Å, 69.33 66.43 66.43°
Last column: magnetic moment on the atom in μB.
Fractional positions:
B  0.103  0.219  0.897  0.01
B  0.281  0.397  0.719  0.01
B  0.332  0.373  0.465  0.04
B  0.168  0.035  0.127  0.04
B  0.719  0.603  0.281  0.01
B  0.666  0.370  0.299  0.01
B  0.639  0.992  0.731  0.07
B  0.329  0.965  0.873  0.04
B  0.829  0.373  0.465  0.04
B  0.781  0.219  0.897  0.01
Ca  0.250  0.389  0.111  0.01
B  0.911  0.923  0.256  0.05
B  0.861  0.769  0.508  0.07
B  0.832  0.965  0.873  0.04
B  0.834  0.201  0.130  0.01
B  0.411  0.756  0.423  0.05
B  0.897  0.781  0.103  0.01
B  0.589  0.244  0.577  0.05
B  0.089  0.077  0.744  0.05
B  0.171  0.627  0.535  0.04
B  0.166  0.799  0.870  0.01
Co  0.000  0.000  0.500  1.58
B  0.334  0.630  0.701  0.01
Ca  0.750  0.611  0.889  0.01
B  0.668  0.627  0.535  0.04
B  0.361  0.008  0.269  0.07
Co  0.500  0.000  0.500  1.58
B  0.397  0.603  0.281  0.01
B  0.603  0.397  0.719  0.01
B  0.671  0.035  0.127  0.04
B  0.219  0.781  0.103  0.01
B  0.139  0.231  0.492  0.07


3.
The following is a PBE calculation of an optimized crystal structure of Ca2CoCuB, from Alexandria via LeMat-Bulk.

Cell: 5.197 4.341 5.197 Å, 90.00 90.00 90.00°
Last column: magnetic moment on the atom in μB.
Fractional positions:
Cu  0.000  0.500  0.000  0.15
Co  0.000  0.000  0.000  0.96
B  0.500  0.500  0.500  0.08
Ca  0.500  0.000  0.000  -0.02
Ca  0.000  0.000  0.500  -0.03


4.
The following is a PBE calculation of an optimized crystal structure of Ca2FeCoB, from Alexandria via LeMat-Bulk.

Cell: 5.289 3.771 5.289 Å, 90.00 90.00 90.00°
Last column: magnetic moment on the atom in μB.
Fractional positions:
B  0.000  0.500  0.000  0.01
Ca  0.000  0.000  0.500  -0.05
Ca  0.500  0.000  0.000  -0.04
Fe  0.500  0.500  0.500  2.96
Co  0.000  0.000  0.000  0.05


| no. | uncorrected energy (eV for the cell shown) | formation enthalpy at 0 K (eV per atom) |
| --- | --- | --- |
| 1 | -16.54 | 0.650 |
| 2 | -209.48 | -0.134 |
| 3 | -16.83 | 1.010 |
| 4 | -22.96 | 0.658 |